1.
Here is an optimized crystal structure of Mg2BiW from Alexandria. Energies are from PBE-GGA.

POSCAR file:
```
Mg2BiW
1.0
-1.758 5.268 -6.008
-4.704 -5.655 -3.582
-5.428 0.720 -3.351
Mg Bi W
4 2 2
Direct
0.595 0.125 0.250
0.155 0.625 0.250
0.375 0.405 0.750
0.875 0.845 0.750
0.000 0.000 0.000
0.750 0.250 0.500
0.500 0.500 0.000
0.250 0.750 0.500
```

Symmetry: I-42d, No. 122
Raw total energy: -4.06 eV per atom

2.
Here is an optimized crystal structure of PS2N from Alexandria. Energies are from PBE-GGA.

POSCAR file:
```
PS2N
1.0
5.835 0.000 0.000
0.000 5.835 0.000
2.917 2.917 3.560
P S N
2 4 2
Direct
0.000 0.000 0.000
0.750 0.250 0.500
0.594 0.125 0.250
0.156 0.625 0.250
0.375 0.406 0.750
0.875 0.844 0.750
0.500 0.500 0.000
0.250 0.750 0.500
```

Symmetry: I-42d, No. 122
Formation energy (no corrections): 4.773 eV per formula unit
Raw total energy: -4.30 eV per atom

3.
Here is an optimized crystal structure of K3LiSn from Alexandria. Energies are from PBE-GGA.

POSCAR file:
```
K3LiSn
1.0
-3.011 -3.005 -5.384
-3.948 -3.663 4.252
-4.736 4.964 -0.121
K Sn Li
3 1 1
Direct
0.000 0.500 0.000
0.000 0.000 0.500
0.500 0.000 0.000
0.000 0.000 0.000
0.500 0.500 0.500
```

Symmetry: Pm-3m, No. 221
Raw total energy: -1.62 eV per atom